1.
Cu2SnAs: relaxed, PBE-GGA.

It has space group I-42d (No. 122), with a = 4.4839 Å, b = 4.4839 Å, c = 15.5694 Å, α = 90.00°, β = 90.00° and γ = 90.00°. The inequivalent atoms are Cu at (0.1645, 0.2500, 0.1250), Sn at (0.0000, 0.0000, 0.5000) and As at (0.0000, 0.0000, 0.0000).

The calculated density is 6.81 g cm⁻³. The value obtained for the energy above the most stable polymorph in this dataset is 0 meV/atom. The value obtained for the total energy is -65.65 eV/cell. The formation energy is 0.108 eV/atom.

=====

2.
CuSn2As2: relaxed, PBE-GGA.

It has space group P4/mbm (No. 127), with a = 6.2880 Å, b = 6.2880 Å, c = 5.7390 Å, α = 90.00°, β = 90.00° and γ = 90.00°. The inequivalent atoms are Cu at (0.0000, 0.0000, 0.0000), Sn at (0.2012, 0.2988, 0.5000) and As at (0.1401, 0.3599, 0.0000).

The calculated density is 6.60 g cm⁻³. The value obtained for the energy above the most stable polymorph in this dataset is 0 meV/atom. The value obtained for the total energy is -42.62 eV/cell. The formation energy is 0.018 eV/atom.

=====

3.
CuSn2As2: relaxed, PBE-GGA.

It has space group P4/mbm (No. 127), with a = 7.4294 Å, b = 7.4294 Å, c = 4.7174 Å, α = 90.00°, β = 90.00° and γ = 90.00°. The inequivalent atoms are Cu at (0.0000, 0.0000, 0.0000), Sn at (0.2374, 0.2626, 0.0000) and As at (0.1123, 0.6123, 0.5000).

The calculated density is 5.75 g cm⁻³. The value obtained for the energy above the most stable polymorph in this dataset is 276 meV/atom. The value obtained for the total energy is -39.86 eV/cell. The formation energy is 0.294 eV/atom.

=====

4.
Cu4SnAs: relaxed, PBE-GGA.

It has space group F-43m (No. 216), with a = 7.1405 Å, b = 7.1405 Å, c = 7.1405 Å, α = 90.00°, β = 90.00° and γ = 90.00°. The inequivalent atoms are Cu at (0.1245, 0.1245, 0.1245), Sn at (0.0000, 0.0000, 0.5000) and As at (0.2500, 0.2500, 0.7500).

The calculated density is 8.17 g cm⁻³. The value obtained for the total energy is -97.89 eV/cell. The formation energy is 0.094 eV/atom.

=====

5.
CuSnAs: relaxed, PBE-GGA.

It has space group Pnma (No. 62), with a = 8.6135 Å, b = 4.4143 Å, c = 6.6450 Å, α = 90.00°, β = 90.00° and γ = 90.00°. The inequivalent atoms are Cu at (0.2152, 0.2500, 0.0307), Sn at (0.0056, 0.7500, 0.2643) and As at (0.2065, 0.2500, 0.3952).

The calculated density is 6.76 g cm⁻³. The value obtained for the energy above the most stable polymorph in this dataset is 3 meV/atom. The value obtained for the total energy is -50.54 eV/cell. The formation energy is 0.038 eV/atom.

=====

6.
CuSn3As: relaxed, PBE-GGA.

It has space group Pm-3m (No. 221), with a = 5.0531 Å, b = 5.0531 Å, c = 5.0531 Å, α = 90.00°, β = 90.00° and γ = 90.00°. The inequivalent atoms are Cu at (0.0000, 0.0000, 0.0000), Sn at (0.0000, 0.0000, 0.5000) and As at (0.5000, 0.5000, 0.5000).

The calculated density is 6.37 g cm⁻³. The value obtained for the energy above the most stable polymorph in this dataset is 0 meV/atom. The value obtained for the total energy is -19.17 eV/cell. The formation energy is 0.317 eV/atom.

=====

7.
SrCuSnAs: relaxed, PBE-GGA.

It has space group P4/nmm (No. 129, origin choice 2), with a = 4.2377 Å, b = 4.2377 Å, c = 11.0719 Å, α = 90.00°, β = 90.00° and γ = 90.00°. The inequivalent atoms are Sr at (0.2500, 0.2500, 0.2280), Cu at (0.2500, 0.7500, 0.0000), Sn at (0.2500, 0.7500, 0.5000) and As at (0.2500, 0.2500, 0.8787).

The calculated density is 5.76 g cm⁻³. The value obtained for the total energy is -32.74 eV/cell. The formation energy is -0.485 eV/atom.

=====

8.
TaCu2SnAs: relaxed, PBE-GGA.

It has space group P4/mmm (No. 123), with a = 4.3518 Å, b = 4.3518 Å, c = 5.7361 Å, α = 90.00°, β = 90.00° and γ = 90.00°. The inequivalent atoms are Ta at (0.0000, 0.0000, 0.0000), Cu at (0.0000, 0.5000, 0.5000), Sn at (0.5000, 0.5000, 0.0000) and As at (0.5000, 0.5000, 0.5000).

The calculated density is 7.67 g cm⁻³. The value obtained for the total energy is -23.75 eV/cell. The formation energy is 0.990 eV/atom.